5
Lattice="4.927 0.000 0.000 0.000 4.927 0.000 0.000 0.000 4.927" Properties=species:S:1:pos:R:3 comment="Cd3NiS (PBE, relaxed)" space_group="Pm-3m (221)" magnetic_moment_mub_per_fu=0.00 e_form_raw_ev_per_atom=0.364 crystal_system=cubic e_above_lowest_polymorph_ev_per_atom=0.000 pbc="T T T"
Cd 0.000 0.000 2.463
Cd 0.000 2.463 0.000
Cd 2.463 0.000 0.000
Ni 0.000 0.000 0.000
S 2.463 2.463 2.463